Here is a relaxed structure of Sr4Cu3NiO8 from Alexandria via LeMat-Bulk. Energies are from GGA+U.

Unit cell a=7.8705 b=3.6404 c=16.3219 alpha=90.00 beta=90.00 gamma=90.00
Space group Amm2 (No. 38)
One atom of each set of equivalent atoms:
Sr 0.0000 0.0000 0.0000
Sr 0.2483 0.0000 0.6641
Sr 0.5000 0.0000 0.9988
Cu 0.2487 0.0000 0.3937
Cu 0.5000 0.0000 0.2674
Ni 0.0000 0.0000 0.2698
O 0.0000 0.0000 0.1522
O 0.0000 0.0000 0.3870
O 0.2445 0.0000 0.2772
O 0.2501 0.0000 0.5109
O 0.5000 0.0000 0.1504
O 0.5000 0.0000 0.3853

As for the raw total energy: -5.551 eV/atom. For the density of states at the Fermi level, the calculation gives 0.21 states/eV per atom.